DFT (GGA-PBEsol) results for Mn2TlP after structural relaxation.

Computed properties:
D(E_F) in states/eV/f.u.: 2.44
VASP energy in eV per atom: -6.716
SG: No. 71
DFT formation energy in eV/atom: 0.270
Calculated volume in A^3/atom: 14.828

a = 4.693 Å, b = 4.693 Å, c = 4.693 Å
α = 138.61°, β = 116.85°, γ = 78.35°
Sites, in units of the cell vectors:
Mn 0.194 0.194 0.000
Mn 0.806 0.806 0.000
Tl 0.500 0.000 0.500
P 0.000 0.500 0.500